A plane-wave DFT calculation with PBE was carried out for a relaxed structure of B3Mo4Au.

Results
Total magnetic moment (μB per cell): 0.0
E_tot (Ha/atom): -0.3122

a b c (Å): 3.1208 3.1208 24.3430
angles (deg): 90.00 90.00 120.00
Space group P6_3/mmc (No. 194)
Unique sites:
B  0.0000  0.0000  0.0000
B  0.3333  0.6667  0.1079
Mo  0.0000  0.0000  0.1547
Mo  0.3333  0.6667  0.5546
Au  0.3333  0.6667  0.7500